A relaxed Ac6In2NO crystal, computed with PBE-GGA.

```
data_Ac6In2NO
_space_group_name_H-M_alt 'I 4/m m m'
_space_group_IT_number 139
_space_group_name_Hall '-I 4 2'
_cell_length_a 7.537
_cell_length_b 7.537
_cell_length_c 10.678
_cell_angle_alpha 90.00
_cell_angle_beta 90.00
_cell_angle_gamma 90.00
loop_
_atom_site_label
_atom_site_fract_x
_atom_site_fract_y
_atom_site_fract_z
Ac1 0.000 0.000 0.248
Ac2 0.248 0.248 0.000
In1 0.000 0.500 0.250
N1 0.000 0.000 0.000
O1 0.000 0.000 0.500
```

Results
- Total moment: 0.000 Bohr magnetons per cell
- Raw formation energy: -9.84 eV per formula unit